Density functional theory data (PBE) for AcDyEr2Hg4 after structural relaxation.

The calculation puts the formation energy at -444 meV/atom. The calculation puts the calculated volume at 662.5 Å³ per cell.

The space group is R-3m (No. 166, hexagonal axes) and the conventional cell measures 5.2901, 5.2901 and 27.3351 Å, with angles of 90.00, 90.00 and 120.00 degrees. The distinct sites, in fractional coordinates, are Ac at (0.0000, 0.0000, 0.0000), Dy at (0.0000, 0.0000, 0.5000), Er at (0.0000, 0.0000, 0.2447), Hg at (0.0000, 0.0000, 0.1283) and Hg at (0.0000, 0.0000, 0.3858).